DFT (PBE) results for a geometry-optimized Ba3Na4Ca structure.

Cell lengths 4.5380, 4.5380, 18.7461 Å; angles 90.00, 90.00, 90.00 degrees
Space group P4/mmm (No. 123)
One atom of each set of equivalent atoms:
1 Ba 0.0000 0.0000 0.0000 [1 per cell]
2 Ba 0.0000 0.0000 0.2624 [2 per cell]
3 Na 0.5000 0.5000 0.1315 [2 per cell]
4 Na 0.5000 0.5000 0.3945 [2 per cell]
5 Ca 0.0000 0.0000 0.5000 [1 per cell]

Summary:
* E_form: 0.7 kcal/mol of atoms

---

DFT (PBE) results for a geometry-optimized Ba2NaCa structure.

Cell lengths 10.2713, 10.2713, 7.8329 Å; angles 90.00, 90.00, 90.00 degrees
Space group I-42d (No. 122)
One atom of each set of equivalent atoms:
1 Ba 0.2269 0.7500 0.1250 [8 per cell]
2 Na 0.0000 0.0000 0.0000 [4 per cell]
3 Ca 0.0000 0.0000 0.5000 [4 per cell]

Summary:
* E_form: 4.7 kcal/mol of atoms
* polymorph energy (0 for the lowest one): 0.176 eV/atom

---

DFT (PBE) results for a geometry-optimized Ba8NaCa2 structure.

Cell lengths 22.7179, 6.8566, 8.0110 Å; angles 90.00, 90.23, 90.00 degrees
Space group C2/m (No. 12)
One atom of each set of equivalent atoms:
1 Ba 0.0468 0.0000 0.2383 [4 per cell]
2 Ba 0.0904 0.5000 0.9333 [4 per cell]
3 Ba 0.1444 0.0000 0.6980 [4 per cell]
4 Ba 0.1784 0.5000 0.4053 [4 per cell]
5 Na 0.0000 0.5000 0.5000 [2 per cell]
6 Ca 0.2314 0.0000 0.1356 [4 per cell]

Summary:
* E_form: 0.9 kcal/mol of atoms
* polymorph energy (0 for the lowest one): 0.010 eV/atom

---

DFT (PBE) results for a geometry-optimized BaNa8Ca3 structure.

Cell lengths 6.9784, 6.9784, 11.2670 Å; angles 90.00, 90.00, 120.00 degrees
Space group P3m1 (No. 156)
One atom of each set of equivalent atoms:
1 Ba 0.0000 0.0000 0.0000 [1 per cell]
2 Na 0.1630 0.3260 0.6778 [3 per cell]
3 Na 0.3333 0.6667 0.4346 [1 per cell]
4 Na 0.3333 0.6667 0.9326 [1 per cell]
5 Na 0.5052 0.0104 0.1939 [3 per cell]
6 Ca 0.0000 0.0000 0.3810 [1 per cell]
7 Ca 0.6667 0.3333 0.4988 [1 per cell]
8 Ca 0.6667 0.3333 0.8610 [1 per cell]

Summary:
* E_form: 0.8 kcal/mol of atoms

---

DFT (PBE) results for a geometry-optimized Ba3NaCa12 structure.

Cell lengths 5.7362, 5.7362, 22.1959 Å; angles 90.00, 90.00, 90.00 degrees
Space group P4/mmm (No. 123)
One atom of each set of equivalent atoms:
1 Ba 0.0000 0.0000 0.0000 [1 per cell]
2 Ba 0.0000 0.0000 0.2569 [2 per cell]
3 Na 0.0000 0.0000 0.5000 [1 per cell]
4 Ca 0.0000 0.5000 0.1290 [4 per cell]
5 Ca 0.0000 0.5000 0.3865 [4 per cell]
6 Ca 0.5000 0.5000 0.0000 [1 per cell]
7 Ca 0.5000 0.5000 0.2603 [2 per cell]
8 Ca 0.5000 0.5000 0.5000 [1 per cell]

Summary:
* E_form: 1.0 kcal/mol of atoms

---

DFT (PBE) results for a geometry-optimized Ba6Na5Ca structure.

Cell lengths 6.6483, 9.4897, 10.4935 Å; angles 90.00, 108.23, 90.00 degrees
Space group P2/m (No. 10)
One atom of each set of equivalent atoms:
1 Ba 0.0000 0.2449 0.0000 [2 per cell]
2 Ba 0.3301 0.2498 0.6628 [4 per cell]
3 Na 0.1600 0.5000 0.3178 [2 per cell]
4 Na 0.1703 0.0000 0.3353 [2 per cell]
5 Na 0.5000 0.0000 0.0000 [1 per cell]
6 Ca 0.5000 0.5000 0.0000 [1 per cell]

Summary:
* E_form: 0.5 kcal/mol of atoms

---

DFT (PBE) results for a geometry-optimized Ba5Na6Ca structure.

Cell lengths 20.5415, 9.2953, 6.5187 Å; angles 90.00, 108.28, 90.00 degrees
Space group C2/m (No. 12)
One atom of each set of equivalent atoms:
1 Ba 0.0000 0.0000 0.0000 [2 per cell]
2 Ba 0.1654 0.0000 0.6655 [4 per cell]
3 Ba 0.1687 0.5000 0.6693 [4 per cell]
4 Na 0.0000 0.2665 0.5000 [4 per cell]
5 Na 0.1614 0.2582 0.1619 [8 per cell]
6 Ca 0.0000 0.5000 0.0000 [2 per cell]

Summary:
* E_form: 0.6 kcal/mol of atoms

---

DFT (PBE) results for a geometry-optimized Ba6Na23Ca structure.

Cell lengths 17.2894, 17.2894, 17.2894 Å; angles 90.00, 90.00, 90.00 degrees
Space group Fm-3m (No. 225)
One atom of each set of equivalent atoms:
1 Ba 0.0000 0.0000 0.2190 [24 per cell]
2 Na 0.0000 0.0000 0.5000 [4 per cell]
3 Na 0.0000 0.2500 0.2500 [24 per cell]
4 Na 0.1205 0.1205 0.3795 [32 per cell]
5 Na 0.1655 0.1655 0.1655 [32 per cell]
6 Ca 0.0000 0.0000 0.0000 [4 per cell]

Summary:
* E_form: 0.5 kcal/mol of atoms

---

DFT (PBE) results for a geometry-optimized Ba2Na2Ca structure.

Cell lengths 9.7219, 9.7219, 5.2497 Å; angles 90.00, 90.00, 90.00 degrees
Space group P4/mbm (No. 127)
One atom of each set of equivalent atoms:
1 Ba 0.1785 0.3215 0.0000 [4 per cell]
2 Na 0.1228 0.6228 0.5000 [4 per cell]
3 Ca 0.0000 0.0000 0.5000 [2 per cell]

Summary:
* E_form: 0.9 kcal/mol of atoms
* polymorph energy (0 for the lowest one): 0.016 eV/atom

---

DFT (PBE) results for a geometry-optimized BaNaCa3 structure.

Cell lengths 18.7641, 5.8073, 8.9475 Å; angles 90.00, 109.80, 90.00 degrees
Space group C2/m (No. 12)
One atom of each set of equivalent atoms:
1 Ba 0.0445 0.0000 0.2890 [4 per cell]
2 Na 0.0830 0.5000 0.0068 [4 per cell]
3 Ca 0.1169 0.5000 0.6434 [4 per cell]
4 Ca 0.1901 0.0000 0.0082 [4 per cell]
5 Ca 0.2399 0.5000 0.3546 [4 per cell]

Summary:
* E_form: 1.6 kcal/mol of atoms
* polymorph energy (0 for the lowest one): 0.000 eV/atom

---

DFT (PBE) results for a geometry-optimized BaNa17Ca structure.

Cell lengths 11.8384, 11.8384, 18.2917 Å; angles 90.00, 90.00, 120.00 degrees
Space group R3m (No. 160, hexagonal axes)
One atom of each set of equivalent atoms:
1 Ba 0.0000 0.0000 0.0000 [3 per cell]
2 Na 0.0000 0.0000 0.5649 [3 per cell]
3 Na 0.0000 0.0000 0.7580 [3 per cell]
4 Na 0.0324 0.3603 0.3309 [18 per cell]
5 Na 0.1783 0.3567 0.5030 [9 per cell]
6 Na 0.1801 0.3602 0.1410 [9 per cell]
7 Na 0.1921 0.3841 0.8496 [9 per cell]
8 Ca 0.0000 0.0000 0.3399 [3 per cell]

Summary:
* E_form: 0.9 kcal/mol of atoms

---

DFT (PBE) results for a geometry-optimized Ba10NaCa6 structure.

Cell lengths 11.5217, 11.5217, 8.2782 Å; angles 90.00, 90.00, 120.00 degrees
Space group P-31m (No. 162)
One atom of each set of equivalent atoms:
1 Ba 0.0000 0.3064 0.3337 [6 per cell]
2 Ba 0.3333 0.6667 0.0000 [2 per cell]
3 Ba 0.3333 0.6667 0.5000 [2 per cell]
4 Na 0.0000 0.0000 0.0000 [1 per cell]
5 Ca 0.0000 0.3515 0.8459 [6 per cell]

Summary:
* E_form: 1.9 kcal/mol of atoms

---

DFT (PBE) results for a geometry-optimized BaNa10Ca structure.

Cell lengths 5.7671, 6.9875, 12.1146 Å; angles 90.00, 90.00, 90.00 degrees
Space group Pmmm (No. 47)
One atom of each set of equivalent atoms:
1 Ba 0.0000 0.0000 0.0000 [1 per cell]
2 Na 0.0000 0.0000 0.3432 [2 per cell]
3 Na 0.0000 0.5000 0.1787 [2 per cell]
4 Na 0.5000 0.0000 0.5000 [1 per cell]
5 Na 0.5000 0.2538 0.2590 [4 per cell]
6 Na 0.5000 0.5000 0.0000 [1 per cell]
7 Ca 0.0000 0.5000 0.5000 [1 per cell]

Summary:
* E_form: 1.5 kcal/mol of atoms

---

DFT (PBE) results for a geometry-optimized BaNa6Ca2 structure.

Cell lengths 9.9795, 10.4062, 7.2076 Å; angles 90.00, 93.55, 90.00 degrees
Space group C2/m (No. 12)
One atom of each set of equivalent atoms:
1 Ba 0.0000 0.0000 0.0000 [2 per cell]
2 Na 0.0000 0.1707 0.5000 [4 per cell]
3 Na 0.1653 0.3354 0.1712 [8 per cell]
4 Ca 0.1614 0.5000 0.6628 [4 per cell]

Summary:
* E_form: 1.5 kcal/mol of atoms

---

DFT (PBE) results for a geometry-optimized BaNa4Ca structure.

Cell lengths 10.0041, 10.0041, 10.0041 Å; angles 90.00, 90.00, 90.00 degrees
Space group F-43m (No. 216)
One atom of each set of equivalent atoms:
1 Ba 0.0000 0.0000 0.0000 [4 per cell]
2 Na 0.1239 0.1239 0.6239 [16 per cell]
3 Ca 0.2500 0.2500 0.2500 [4 per cell]

Summary:
* E_form: 0.6 kcal/mol of atoms

---

DFT (PBE) results for a geometry-optimized Ba6NaCa2 structure.

Cell lengths 7.4258, 21.2312, 7.1572 Å; angles 90.00, 116.04, 90.00 degrees
Space group C2/m (No. 12)
One atom of each set of equivalent atoms:
1 Ba 0.1770 0.1634 0.3369 [8 per cell]
2 Ba 0.1893 0.0000 0.8418 [4 per cell]
3 Na 0.0000 0.5000 0.5000 [2 per cell]
4 Ca 0.0000 0.3270 0.0000 [4 per cell]

Summary:
* E_form: 1.4 kcal/mol of atoms
* polymorph energy (0 for the lowest one): 0.000 eV/atom

---

DFT (PBE) results for a geometry-optimized BaNa3Ca structure.

Cell lengths 7.0642, 7.0642, 32.5313 Å; angles 90.00, 90.00, 120.00 degrees
Space group R-3m (No. 166, hexagonal axes)
One atom of each set of equivalent atoms:
1 Ba 0.0000 0.0000 0.1889 [6 per cell]
2 Na 0.0024 0.5012 0.7433 [18 per cell]
3 Ca 0.0000 0.0000 0.3132 [6 per cell]

Summary:
* E_form: 2.8 kcal/mol of atoms
* polymorph energy (0 for the lowest one): 0.000 eV/atom

---

DFT (PBE) results for a geometry-optimized Ba4Na2Ca structure.

Cell lengths 8.1262, 12.9869, 14.3640 Å; angles 90.00, 90.00, 90.00 degrees
Space group Fmmm (No. 69)
One atom of each set of equivalent atoms:
1 Ba 0.0000 0.1647 0.0000 [8 per cell]
2 Ba 0.2500 0.2500 0.2500 [8 per cell]
3 Na 0.0000 0.0000 0.2422 [8 per cell]
4 Ca 0.0000 0.0000 0.5000 [4 per cell]

Summary:
* E_form: 3.1 kcal/mol of atoms
* polymorph energy (0 for the lowest one): 0.000 eV/atom

---

DFT (PBE) results for a geometry-optimized Ba2Na16Ca structure.

Cell lengths 12.2054, 12.2054, 17.9033 Å; angles 90.00, 90.00, 120.00 degrees
Space group R3m (No. 160, hexagonal axes)
One atom of each set of equivalent atoms:
1 Ba 0.0000 0.0000 0.0000 [3 per cell]
2 Ba 0.0000 0.0000 0.3134 [3 per cell]
3 Na 0.0000 0.0000 0.7612 [3 per cell]
4 Na 0.0006 0.2961 0.6542 [18 per cell]
5 Na 0.0014 0.5007 0.8027 [9 per cell]
6 Na 0.1690 0.3380 0.4869 [9 per cell]
7 Na 0.1695 0.3391 0.8401 [9 per cell]
8 Ca 0.0000 0.0000 0.5568 [3 per cell]

Summary:
* E_form: 0.6 kcal/mol of atoms

---

DFT (PBE) results for a geometry-optimized Ba2NaCa8 structure.

Cell lengths 5.7892, 5.7892, 15.3799 Å; angles 90.00, 90.00, 90.00 degrees
Space group P4/mmm (No. 123)
One atom of each set of equivalent atoms:
1 Ba 0.0000 0.0000 0.1838 [2 per cell]
2 Na 0.0000 0.0000 0.5000 [1 per cell]
3 Ca 0.0000 0.5000 0.0000 [2 per cell]
4 Ca 0.0000 0.5000 0.3663 [4 per cell]
5 Ca 0.5000 0.5000 0.1830 [2 per cell]

Summary:
* E_form: 2.2 kcal/mol of atoms
* polymorph energy (0 for the lowest one): 0.047 eV/atom